Entry 1:
Here is Sm4DyEr3 after structural relaxation from Alexandria via LeMat-Bulk. Energies are from PBE-GGA.

Cell and atoms, written as CIF:
```
data_Sm4DyEr3
_chemical_formula_sum 'Sm8 Dy2 Er6'
_symmetry_space_group_name_H-M 'P m n 21'
_symmetry_Int_Tables_number 31
_cell_length_a 11.4017
_cell_length_b 7.2856
_cell_length_c 6.2871
_cell_angle_alpha 90.00
_cell_angle_beta 90.00
_cell_angle_gamma 90.00
loop_
_symmetry_equiv_pos_as_xyz
'x,y,z'
'-x+1/2,-y,z+1/2'
'-x,y,z'
'x+1/2,-y,z+1/2'
loop_
_atom_site_label
_atom_site_fract_x
_atom_site_fract_y
_atom_site_fract_z
_atom_site_occupancy
Sm1 0.0000 0.1275 0.0000 1
Sm2 0.0000 0.8721 0.5025 1
Sm3 0.2490 0.1273 0.3356 1
Dy1 0.0000 0.6224 0.0026 1
Er1 0.0000 0.3785 0.5022 1
Er2 0.2499 0.3781 0.8348 1
```

Results
DFT formation energy = 2.0 kJ per mole of atoms
magnetization = 0.00 μB per formula unit
excess energy over the best structure of this formula in the dataset = 0.000 eV/f.u.
total energy = -74.00 eV/cell

Entry 2:
Here is Nb3S5O after structural relaxation from Alexandria via LeMat-Bulk. Energies are from PBE-GGA.

Cell and atoms, written as CIF:
```
data_Nb3S5O
_chemical_formula_sum 'Nb12 S20 O4'
_symmetry_space_group_name_H-M 'C 1 2/m 1'
_symmetry_Int_Tables_number 12
_cell_length_a 10.5425
_cell_length_b 8.5030
_cell_length_c 8.5153
_cell_angle_alpha 90.00
_cell_angle_beta 116.31
_cell_angle_gamma 90.00
loop_
_symmetry_equiv_pos_as_xyz
'x,y,z'
'-x,-y,-z'
'-x,y,-z'
'x,-y,z'
'x+1/2,y+1/2,z'
'-x+1/2,-y+1/2,-z'
'-x+1/2,y+1/2,-z'
'x+1/2,-y+1/2,z'
loop_
_atom_site_label
_atom_site_fract_x
_atom_site_fract_y
_atom_site_fract_z
_atom_site_occupancy
Nb1 0.0000 0.0000 0.0000 1
Nb2 0.0000 0.0000 0.5000 1
Nb3 0.1799 0.5000 0.2000 1
Nb4 0.2203 0.5000 0.6751 1
S1 0.0000 0.2972 0.0000 1
S2 0.0489 0.5000 0.3646 1
S3 0.1663 0.2135 0.6558 1
S4 0.2381 0.0000 0.0319 1
O1 0.0807 0.0000 0.2945 1
```

Results
uncorrected formation energy = -1.030 eV/atom
magnetization = 0.00 μB per formula unit
total energy = -260.31 eV/cell

magnetization of number 2 (Nb3S5O)? 0.00 μB per formula unit